# 1
Compound: Ti2Co2Pd
Source: the Alexandria database
Functional: PBE
Structure: optimized geometry

Values from the calculation:
The calculation puts the density of states at the Fermi level at 5.28 states/eV/f.u. Its density is 7.8 g cm⁻³. The value obtained for the formation energy is -0.41 eV/atom.

Structure (CIF):
```
data_Ti2Co2Pd
_chemical_formula_sum 'Ti4 Co4 Pd2'
_space_group_name_H-M_alt 'P 4/m b m'
_space_group_IT_number 127
_space_group_name_Hall '-P 4 2ab'
_cell_length_a 6.839
_cell_length_b 6.839
_cell_length_c 2.903
_cell_angle_alpha 90.00
_cell_angle_beta 90.00
_cell_angle_gamma 90.00
loop_
_atom_site_label
_atom_site_type_symbol
_atom_site_fract_x
_atom_site_fract_y
_atom_site_fract_z
Ti1 Ti 0.167 0.333 0.000
Co1 Co 0.130 0.630 0.500
Pd1 Pd 0.000 0.000 0.500
```

---

# 2
Compound: Ti5CoPd4
Source: the Alexandria database
Functional: PBE
Structure: optimized geometry

Values from the calculation:
The calculation puts the density of states at the Fermi level at 10.01 states/eV/f.u. Its density is 7.3 g cm⁻³. The value obtained for the formation energy is -0.31 eV/atom.

Structure (CIF):
```
data_Ti5CoPd4
_chemical_formula_sum 'Ti10 Co2 Pd8'
_space_group_name_H-M_alt 'I 4/m'
_space_group_IT_number 87
_space_group_name_Hall '-I 4'
_cell_length_a 8.304
_cell_length_b 8.304
_cell_length_c 4.792
_cell_angle_alpha 90.00
_cell_angle_beta 90.00
_cell_angle_gamma 90.00
loop_
_atom_site_label
_atom_site_type_symbol
_atom_site_fract_x
_atom_site_fract_y
_atom_site_fract_z
Ti1 Ti 0.000 0.000 0.000
Ti2 Ti 0.129 0.760 0.500
Co1 Co 0.000 0.000 0.500
Pd1 Pd 0.071 0.648 0.000
```

---

# 3
Compound: Ti7Co5Pd
Source: the Alexandria database
Functional: PBE
Structure: optimized geometry

Values from the calculation:
The calculation puts the density of states at the Fermi level at 12.80 states/eV/f.u. Its density is 6.6 g cm⁻³. The value obtained for the formation energy is -0.29 eV/atom.

Structure (CIF):
```
data_Ti7Co5Pd
_chemical_formula_sum 'Ti14 Co10 Pd2'
_space_group_name_H-M_alt 'I m m 2'
_space_group_IT_number 44
_cell_length_a 5.026
_cell_length_b 8.656
_cell_length_c 8.475
_cell_angle_alpha 90.00
_cell_angle_beta 90.00
_cell_angle_gamma 90.00
loop_
_space_group_symop_operation_xyz
'x,y,z'
'-x,-y,z'
'-x,y,z'
'x,-y,z'
'x+1/2,y+1/2,z+1/2'
'-x+1/2,-y+1/2,z+1/2'
'-x+1/2,y+1/2,z+1/2'
'x+1/2,-y+1/2,z+1/2'
loop_
_atom_site_label
_atom_site_type_symbol
_atom_site_fract_x
_atom_site_fract_y
_atom_site_fract_z
Ti1 Ti 0.000 0.000 0.000
Ti2 Ti 0.000 0.000 0.349
Ti3 Ti 0.000 0.307 0.555
Ti4 Ti 0.000 0.340 0.013
Ti5 Ti 0.000 0.500 0.296
Co1 Co 0.000 0.500 0.768
Co2 Co 0.248 0.258 0.297
Pd1 Pd 0.000 0.000 0.657
```

---

# 4
Compound: Ti2Co2Pd
Source: the Alexandria database
Functional: PBE
Structure: optimized geometry

Values from the calculation:
The calculation puts the density of states at the Fermi level at 5.44 states/eV/f.u. Its density is 7.2 g cm⁻³. The value obtained for the formation energy is -0.10 eV/atom.

Structure (CIF):
```
data_Ti2Co2Pd
_chemical_formula_sum 'Ti4 Co4 Pd2'
_space_group_name_H-M_alt 'I 4/m m m'
_space_group_IT_number 139
_space_group_name_Hall '-I 4 2'
_cell_length_a 3.372
_cell_length_b 3.372
_cell_length_c 13.053
_cell_angle_alpha 90.00
_cell_angle_beta 90.00
_cell_angle_gamma 90.00
loop_
_atom_site_label
_atom_site_type_symbol
_atom_site_fract_x
_atom_site_fract_y
_atom_site_fract_z
Ti1 Ti 0.000 0.000 0.118
Co1 Co 0.000 0.500 0.250
Pd1 Pd 0.000 0.000 0.500
```

---

# 5
Compound: Ti6CoPd5
Source: the Alexandria database
Functional: PBE
Structure: optimized geometry

Values from the calculation:
The calculation puts the density of states at the Fermi level at 13.50 states/eV/f.u. Its density is 7.9 g cm⁻³. The value obtained for the formation energy is -0.47 eV/atom.

Structure (CIF):
```
data_Ti6CoPd5
_chemical_formula_sum 'Ti12 Co2 Pd10'
_space_group_name_H-M_alt 'C 1 2/m 1'
_space_group_IT_number 12
_cell_length_a 13.646
_cell_length_b 5.898
_cell_length_c 4.608
_cell_angle_alpha 90.00
_cell_angle_beta 98.06
_cell_angle_gamma 90.00
loop_
_space_group_symop_operation_xyz
'x,y,z'
'-x,-y,-z'
'-x,y,-z'
'x,-y,z'
'x+1/2,y+1/2,z'
'-x+1/2,-y+1/2,-z'
'-x+1/2,y+1/2,-z'
'x+1/2,-y+1/2,z'
loop_
_atom_site_label
_atom_site_type_symbol
_atom_site_fract_x
_atom_site_fract_y
_atom_site_fract_z
Ti1 Ti 0.000 0.239 0.000
Ti2 Ti 0.153 0.242 0.694
Co1 Co 0.000 0.000 0.500
Pd1 Pd 0.000 0.500 0.500
Pd2 Pd 0.176 0.500 0.211
Pd3 Pd 0.179 0.000 0.217
```

---

# 6
Compound: Ti2CoPd2
Source: the Alexandria database
Functional: PBE
Structure: optimized geometry

Values from the calculation:
The calculation puts the density of states at the Fermi level at 6.01 states/eV/f.u. Its density is 8.0 g cm⁻³. The value obtained for the formation energy is -0.39 eV/atom.

Structure (CIF):
```
data_Ti2CoPd2
_chemical_formula_sum 'Ti8 Co4 Pd8'
_space_group_name_H-M_alt 'I b a m'
_space_group_IT_number 72
_space_group_name_Hall '-I 2 2c'
_cell_length_a 5.707
_cell_length_b 10.885
_cell_length_c 4.927
_cell_angle_alpha 90.00
_cell_angle_beta 90.00
_cell_angle_gamma 90.00
loop_
_atom_site_label
_atom_site_type_symbol
_atom_site_fract_x
_atom_site_fract_y
_atom_site_fract_z
Ti1 Ti 0.185 0.163 0.000
Co1 Co 0.000 0.000 0.250
Pd1 Pd 0.148 0.396 0.000
```

---

# 7
Compound: Ti2Co2Pd
Source: the Alexandria database
Functional: PBE
Structure: optimized geometry

Values from the calculation:
The calculation puts the density of states at the Fermi level at 2.41 states/eV/f.u. Its density is 7.1 g cm⁻³. The value obtained for the formation energy is -0.09 eV/atom.

Structure (CIF):
```
data_Ti2Co2Pd
_chemical_formula_sum 'Ti2 Co2 Pd1'
_space_group_name_H-M_alt 'P -3 m 1'
_space_group_IT_number 164
_space_group_name_Hall '-P 3 2"'
_cell_length_a 4.2131
_cell_length_b 4.2131
_cell_length_c 4.8388
_cell_angle_alpha 90.00
_cell_angle_beta 90.00
_cell_angle_gamma 120.00
loop_
_atom_site_label
_atom_site_type_symbol
_atom_site_fract_x
_atom_site_fract_y
_atom_site_fract_z
Ti1 Ti 0.3333 0.6667 0.2176
Co1 Co 0.3333 0.6667 0.6962
Pd1 Pd 0.0000 0.0000 0.0000
```

---

# 8
Compound: TiCoPd
Source: the Alexandria database
Functional: PBE
Structure: optimized geometry

Values from the calculation:
The calculation puts the density of states at the Fermi level at 2.59 states/eV/f.u. Its density is 8.4 g cm⁻³. The value obtained for the formation energy is -0.27 eV/atom.

Structure (CIF):
```
data_TiCoPd
_chemical_formula_sum 'Ti12 Co12 Pd12'
_space_group_name_H-M_alt 'I m a 2'
_space_group_IT_number 46
_cell_length_a 7.540
_cell_length_b 10.312
_cell_length_c 6.525
_cell_angle_alpha 90.00
_cell_angle_beta 90.00
_cell_angle_gamma 90.00
loop_
_space_group_symop_operation_xyz
'x,y,z'
'-x,-y,z'
'-x+1/2,y,z'
'x+1/2,-y,z'
'x+1/2,y+1/2,z+1/2'
'-x+1/2,-y+1/2,z+1/2'
'-x,y+1/2,z+1/2'
'x,-y+1/2,z+1/2'
loop_
_atom_site_label
_atom_site_type_symbol
_atom_site_fract_x
_atom_site_fract_y
_atom_site_fract_z
Ti1 Ti 0.025 0.179 0.000
Ti2 Ti 0.250 0.554 0.987
Co1 Co 0.000 0.000 0.732
Co2 Co 0.067 0.113 0.345
Pd1 Pd 0.250 0.173 0.702
Pd2 Pd 0.250 0.524 0.557
Pd3 Pd 0.250 0.729 0.264
```

---

# 9
Compound: Ti2CoPd
Source: the Alexandria database
Functional: PBE
Structure: optimized geometry

Values from the calculation:
The calculation puts the density of states at the Fermi level at 4.07 states/eV/f.u. Its density is 7.4 g cm⁻³. The value obtained for the formation energy is -0.40 eV/atom.

Structure (CIF):
```
data_Ti2CoPd
_chemical_formula_sum 'Ti8 Co4 Pd4'
_space_group_name_H-M_alt 'C m c m'
_space_group_IT_number 63
_space_group_name_Hall '-C 2c 2'
_cell_length_a 2.771
_cell_length_b 19.766
_cell_length_c 4.256
_cell_angle_alpha 90.00
_cell_angle_beta 90.00
_cell_angle_gamma 90.00
loop_
_atom_site_label
_atom_site_type_symbol
_atom_site_fract_x
_atom_site_fract_y
_atom_site_fract_z
Ti1 Ti 0.000 0.060 0.250
Ti2 Ti 0.000 0.157 0.750
Co1 Co 0.000 0.453 0.250
Pd1 Pd 0.000 0.293 0.750
```

---

# 10
Compound: TiCo2Pd2
Source: the Alexandria database
Functional: PBE
Structure: optimized geometry

Values from the calculation:
The calculation puts the density of states at the Fermi level at 6.89 states/eV/f.u. Its density is 8.3 g cm⁻³. The value obtained for the formation energy is 0.10 eV/atom.

Structure (CIF):
```
data_TiCo2Pd2
_chemical_formula_sum 'Ti2 Co4 Pd4'
_space_group_name_H-M_alt 'I 4/m m m'
_space_group_IT_number 139
_space_group_name_Hall '-I 4 2'
_cell_length_a 3.720
_cell_length_b 3.720
_cell_length_c 10.893
_cell_angle_alpha 90.00
_cell_angle_beta 90.00
_cell_angle_gamma 90.00
loop_
_atom_site_label
_atom_site_type_symbol
_atom_site_fract_x
_atom_site_fract_y
_atom_site_fract_z
Ti1 Ti 0.000 0.000 0.000
Co1 Co 0.000 0.000 0.405
Pd1 Pd 0.000 0.500 0.250
```

---

# 11
Compound: Ti3Co2Pd
Source: the Alexandria database
Functional: PBE
Structure: optimized geometry

Values from the calculation:
The calculation puts the density of states at the Fermi level at 6.59 states/eV/f.u. Its density is 7.3 g cm⁻³. The value obtained for the formation energy is -0.43 eV/atom.

Structure (CIF):
```
data_Ti3Co2Pd
_chemical_formula_sum 'Ti3 Co2 Pd1'
_space_group_name_H-M_alt 'P 4/m m m'
_space_group_IT_number 123
_space_group_name_Hall '-P 4 2'
_cell_length_a 2.882
_cell_length_b 2.882
_cell_length_c 10.116
_cell_angle_alpha 90.00
_cell_angle_beta 90.00
_cell_angle_gamma 90.00
loop_
_atom_site_label
_atom_site_type_symbol
_atom_site_fract_x
_atom_site_fract_y
_atom_site_fract_z
Ti1 Ti 0.000 0.000 0.000
Ti2 Ti 0.000 0.000 0.309
Co1 Co 0.500 0.500 0.150
Pd1 Pd 0.500 0.500 0.500
```

---

# 12
Compound: Ti3CoPd
Source: the Alexandria database
Functional: PBE
Structure: optimized geometry

Values from the calculation:
The calculation puts the density of states at the Fermi level at 4.45 states/eV/f.u. Its density is 6.7 g cm⁻³. The value obtained for the formation energy is -0.25 eV/atom.

Structure (CIF):
```
data_Ti3CoPd
_chemical_formula_sum 'Ti24 Co8 Pd8'
_space_group_name_H-M_alt 'C 1 2/c 1'
_space_group_IT_number 15
_cell_length_a 9.212
_cell_length_b 5.338
_cell_length_c 12.704
_cell_angle_alpha 90.00
_cell_angle_beta 100.44
_cell_angle_gamma 90.00
loop_
_space_group_symop_operation_xyz
'x,y,z'
'-x,-y,-z'
'-x,y,-z+1/2'
'x,-y,z+1/2'
'x+1/2,y+1/2,z'
'-x+1/2,-y+1/2,-z'
'-x+1/2,y+1/2,-z+1/2'
'x+1/2,-y+1/2,z+1/2'
loop_
_atom_site_label
_atom_site_type_symbol
_atom_site_fract_x
_atom_site_fract_y
_atom_site_fract_z
Ti1 Ti 0.059 0.106 0.100
Ti2 Ti 0.175 0.166 0.797
Ti3 Ti 0.191 0.354 0.400
Co1 Co 0.000 0.316 0.250
Co2 Co 0.250 0.250 0.000
Pd1 Pd 0.059 0.381 0.595
```